(1)
A plane-wave DFT calculation with meta-GGA SCAN was carried out for a PBEsol-optimized structure of CdNiP2S.

## Properties
DFT total energy = -69.18 eV/cell

Lattice parameters (Å, degrees): 4.817 4.817 4.858 90.00 90.00 90.00
Each line ends with the local moment (μB).
Fractional coordinates of all 5 atoms:
1 Ni 0.500 0.500 0.500  1.21
2 S 0.000 0.000 0.500  0.21
3 P 0.000 0.500 0.000  0.33
4 P 0.500 0.000 0.000  0.33
5 Cd 0.000 0.000 0.000  0.02



(2)
A plane-wave DFT calculation with meta-GGA SCAN was carried out for a PBEsol-optimized structure of Cd2NiPb.

## Properties
Calculated formation energy = 92 kJ/mol of formula units
E above lowest polymorph = 0.156 eV per atom

Lattice parameters (Å, degrees): 3.191 3.191 9.488 80.32 80.32 60.00
Fractional coordinates of all 4 atoms:
1 Cd 0.233 0.233 0.300
2 Cd 0.767 0.767 0.700
3 Ni 0.500 0.500 0.500
4 Pb 0.000 0.000 0.000



(3)
A plane-wave DFT calculation with meta-GGA SCAN was carried out for a PBEsol-optimized structure of CdNi2Pb.

## Properties
Calculated formation energy = 118 kJ/mol of formula units

Lattice parameters (Å, degrees): 3.253 4.226 5.381 113.12 107.59 90.00
Fractional coordinates of all 4 atoms:
1 Cd 0.258 0.758 0.516
2 Ni 0.029 0.029 0.059
3 Ni 0.733 0.233 0.465
4 Pb 0.480 0.480 0.960



(4)
A plane-wave DFT calculation with meta-GGA SCAN was carried out for a PBEsol-optimized structure of Cd2NiPb.

## Properties
Calculated formation energy = 159 kJ/mol of formula units
E above lowest polymorph = 0.327 eV per atom

Lattice parameters (Å, degrees): 4.846 4.846 4.846 60.00 60.00 60.00
Fractional coordinates of all 4 atoms:
1 Cd 0.750 0.750 0.750
2 Cd 0.250 0.250 0.250
3 Ni 0.000 0.000 0.000
4 Pb 0.500 0.500 0.500



(5)
A plane-wave DFT calculation with meta-GGA SCAN was carried out for a PBEsol-optimized structure of Cd2NiPb.

## Properties
Calculated formation energy = 32 kJ/mol of formula units
E above lowest polymorph = 0.000 eV per atom

Lattice parameters (Å, degrees): 3.012 4.362 6.900 108.43 102.61 90.00
Fractional coordinates of all 4 atoms:
1 Pb 0.181 0.681 0.362
2 Ni 0.501 0.501 0.001
3 Cd 0.991 0.991 0.983
4 Cd 0.827 0.327 0.654



(6)
A plane-wave DFT calculation with meta-GGA SCAN was carried out for a PBEsol-optimized structure of Cd2ReNiPd.

## Properties
Calculated formation energy = 768 kJ/mol of formula units

Lattice parameters (Å, degrees): 4.467 4.897 4.897 90.00 90.00 90.00
Each line ends with the local moment (μB).
Fractional coordinates of all 5 atoms:
1 Re 0.500 0.500 0.500  3.14
2 Ni 0.500 0.000 0.000  1.11
3 Pd 0.000 0.000 0.000  0.23
4 Cd 0.000 0.000 0.500  -0.03
5 Cd 0.000 0.500 0.000  -0.03



(7)
A plane-wave DFT calculation with meta-GGA SCAN was carried out for a PBEsol-optimized structure of PrCd20Ni2.

## Properties
Calculated formation energy = -253 kJ/mol of formula units

Lattice parameters (Å, degrees): 10.910 10.910 10.910 60.00 60.00 60.00
Fractional coordinates of all 46 atoms:
1 Pr 0.000 0.000 0.000
2 Pr 0.250 0.250 0.250
3 Cd 0.331 0.800 0.800
4 Cd 0.800 0.331 0.069
5 Cd 0.800 0.069 0.331
6 Cd 0.069 0.800 0.800
7 Cd 0.331 0.069 0.800
8 Cd 0.800 0.800 0.331
9 Cd 0.800 0.800 0.069
10 Cd 0.069 0.331 0.800
11 Cd 0.331 0.800 0.069
12 Cd 0.800 0.069 0.800
13 Cd 0.800 0.331 0.800
14 Cd 0.069 0.800 0.331
15 Cd 0.919 0.450 0.450
16 Cd 0.450 0.919 0.181
17 Cd 0.450 0.181 0.919
18 Cd 0.181 0.450 0.450
19 Cd 0.919 0.181 0.450
20 Cd 0.450 0.450 0.919
21 Cd 0.450 0.450 0.181
22 Cd 0.181 0.919 0.450
23 Cd 0.919 0.450 0.181
24 Cd 0.450 0.181 0.450
25 Cd 0.450 0.919 0.450
26 Cd 0.181 0.450 0.919
27 Cd 0.636 0.636 0.364
28 Cd 0.364 0.364 0.636
29 Cd 0.636 0.364 0.636
30 Cd 0.364 0.636 0.364
31 Cd 0.636 0.364 0.364
32 Cd 0.364 0.636 0.636
33 Cd 0.614 0.614 0.886
34 Cd 0.886 0.886 0.614
35 Cd 0.614 0.886 0.614
36 Cd 0.886 0.614 0.886
37 Cd 0.614 0.886 0.886
38 Cd 0.886 0.614 0.614
39 Cd 0.125 0.125 0.125
40 Cd 0.125 0.125 0.625
41 Cd 0.125 0.625 0.125
42 Cd 0.625 0.125 0.125
43 Ni 0.625 0.625 0.625
44 Ni 0.625 0.625 0.125
45 Ni 0.625 0.125 0.625
46 Ni 0.125 0.625 0.625



(8)
A plane-wave DFT calculation with meta-GGA SCAN was carried out for a PBEsol-optimized structure of PrCdNi4.

## Properties
Calculated formation energy = -129 kJ/mol of formula units

Lattice parameters (Å, degrees): 4.973 4.973 4.973 60.00 60.00 60.00
Fractional coordinates of all 6 atoms:
1 Pr 0.250 0.250 0.250
2 Ni 0.121 0.626 0.626
3 Ni 0.626 0.626 0.121
4 Ni 0.626 0.121 0.626
5 Ni 0.626 0.626 0.626
6 Cd 0.000 0.000 0.000



(9)
A plane-wave DFT calculation with meta-GGA SCAN was carried out for a PBEsol-optimized structure of CdNi2Pt.

## Properties
Calculated formation energy = -6 kJ/mol of formula units

Lattice parameters (Å, degrees): 2.732 4.490 4.490 102.67 90.00 90.00
Fractional coordinates of all 4 atoms:
1 Cd 0.500 0.500 0.500
2 Ni 0.000 0.500 0.000
3 Ni 0.000 0.000 0.500
4 Pt 0.500 0.000 0.000



(10)
A plane-wave DFT calculation with meta-GGA SCAN was carried out for a PBEsol-optimized structure of CdNiPt2.

## Properties
Calculated formation energy = -45 kJ/mol of formula units

Lattice parameters (Å, degrees): 2.785 4.750 4.779 100.46 90.00 107.05
Each line ends with the local moment (μB).
Fractional coordinates of all 4 atoms:
1 Cd 0.496 0.992 0.497  -0.02
2 Ni 0.746 0.492 0.232  1.01
3 Pt 0.005 0.010 0.012  0.10
4 Pt 0.253 0.506 0.759  0.12



(11)
A plane-wave DFT calculation with meta-GGA SCAN was carried out for a PBEsol-optimized structure of Cd2NiPt.

## Properties
Calculated formation energy = -51 kJ/mol of formula units

Lattice parameters (Å, degrees): 3.781 4.078 4.078 90.00 90.00 90.00
Fractional coordinates of all 4 atoms:
1 Cd 0.000 0.000 0.500
2 Cd 0.000 0.500 0.000
3 Ni 0.500 0.500 0.500
4 Pt 0.500 0.000 0.000



(12)
A plane-wave DFT calculation with meta-GGA SCAN was carried out for a PBEsol-optimized structure of CdNiPt2.

## Properties
Calculated formation energy = -54 kJ/mol of formula units

Lattice parameters (Å, degrees): 2.782 4.763 4.752 101.35 90.00 106.98
Each line ends with the local moment (μB).
Fractional coordinates of all 4 atoms:
1 Ni 0.500 0.000 0.000  0.89
2 Pt 0.758 0.516 0.763  0.08
3 Pt 0.242 0.484 0.237  0.08
4 Cd 0.000 0.000 0.500  -0.03



(13)
A plane-wave DFT calculation with meta-GGA SCAN was carried out for a PBEsol-optimized structure of CdNiPt2.

## Properties
Calculated formation energy = -74 kJ/mol of formula units

Lattice parameters (Å, degrees): 2.809 3.646 5.793 90.00 90.00 90.00
Each line ends with the local moment (μB).
Fractional coordinates of all 4 atoms:
1 Ni 0.500 0.500 0.500  1.13
2 Pt 0.000 0.000 0.727  0.19
3 Pt 0.000 0.000 0.273  0.19
4 Cd 0.500 0.500 0.000  -0.01



(14)
A plane-wave DFT calculation with meta-GGA SCAN was carried out for a PBEsol-optimized structure of CdNiPt2.

## Properties
Calculated formation energy = -23 kJ/mol of formula units

Lattice parameters (Å, degrees): 2.788 2.788 7.564 90.00 90.00 90.00
Each line ends with the local moment (μB).
Fractional coordinates of all 4 atoms:
1 Cd 0.000 0.000 0.516  -0.02
2 Ni 0.500 0.500 0.763  0.68
3 Pt 0.000 0.000 0.980  0.28
4 Pt 0.500 0.500 0.241  0.10



Calculated values (μB/f.u.) of total magnetic moment for the records, taken in order: 2.91 0.00 0.00 0.00 0.00 5.13 0.00 0.00 0.00 1.12 0.00 0.92 1.41 0.96.